SmHo2Rh3 | PBE-GGA | relaxed

The density comes out at 10.7 g/cm3. The volume is 20.37 Å³/atom. For the total energy, the calculation gives -6.8264 eV per atom.

The structure belongs to space group P4/mmm (No. 123); the cell edges are 3.437, 3.437 and 10.346 Å and the angles 90.00°, 90.00° and 90.00°. The inequivalent atoms are Sm at (0.000, 0.000, 0.000), Ho at (0.000, 0.000, 0.336), Rh at (0.500, 0.500, 0.175) and Rh at (0.500, 0.500, 0.500).